[1]
A plane-wave DFT calculation with PBE-GGA was carried out for a geometry-optimized PmPRh3 structure.

The structure in POSCAR format:
```
PmPRh3
1.0
-0.9804 -3.7078 -2.3250
2.3773 1.5493 -3.4732
3.6745 -1.9917 1.6267
Rh Pm P
3 1 1
direct
0.0000 0.5000 0.0000
0.0000 0.0000 0.5000
0.5000 0.0000 0.0000
0.5000 0.5000 0.5000
0.0000 0.0000 0.0000
```

Calculated values
- M_tot (μB per cell) = 0.0
- E (eV/atom) = -7.128



[2]
A plane-wave DFT calculation with PBE-GGA was carried out for a geometry-optimized Mg5Cd2Au structure.

The structure in POSCAR format:
```
Mg5Cd2Au
1.0
6.7155 0.0000 -3.1701
-1.4964 6.5466 -3.1701
-0.2821 -0.3539 8.1004
Mg Cd Au
10 4 2
direct
0.5000 0.5000 0.0000
0.1796 0.9981 0.6777
0.9981 0.4981 0.6777
0.3204 0.8204 0.3223
0.0000 0.0000 0.0000
0.6796 0.1796 0.6777
0.8204 0.0019 0.3223
0.4981 0.6796 0.6777
0.0019 0.5019 0.3223
0.5019 0.3204 0.3223
0.6386 0.1386 0.0000
0.8614 0.6386 0.0000
0.1386 0.3614 0.0000
0.3614 0.8614 0.0000
0.2500 0.2500 0.5000
0.7500 0.7500 0.5000
```

Calculated values
- M_tot (μB per cell) = 0.0
- E (eV/atom) = -1.804



[3]
A plane-wave DFT calculation with PBE-GGA was carried out for a geometry-optimized SrAcTeI structure.

The structure in POSCAR format:
```
SrAcTeI
1.0
5.7869 0.0000 0.0000
2.8935 5.0116 0.0000
2.8935 1.6705 4.7250
I Ac Sr Te
1 1 1 1
direct
0.7500 0.7500 0.7500
0.0000 0.0000 0.0000
0.5000 0.5000 0.5000
0.2500 0.2500 0.2500
```

Calculated values
- M_tot (μB per cell) = 1.2
- ΔE_f (raw) (eV per formula unit) = -4.62



[4]
A plane-wave DFT calculation with PBE-GGA was carried out for a geometry-optimized AgNF2 structure.

The structure in POSCAR format:
```
AgNF2
1.0
4.0061 0.0000 0.0000
0.0000 4.0061 0.0000
2.0031 2.0031 6.8184
F Ag N
4 2 2
direct
0.5866 0.1250 0.2500
0.8750 0.8366 0.7500
0.3750 0.4134 0.7500
0.1634 0.6250 0.2500
0.7500 0.2500 0.5000
0.0000 0.0000 0.0000
0.2500 0.7500 0.5000
0.5000 0.5000 0.0000
```

Calculated values
- M_tot (μB per cell) = 4.0
- ΔE_f (raw) (eV per formula unit) = 2.53



[5]
A plane-wave DFT calculation with PBE-GGA was carried out for a geometry-optimized AcErCdCu structure.

The structure in POSCAR format:
```
AcErCdCu
1.0
5.3575 0.0000 0.0000
2.6788 4.6398 0.0000
2.6788 1.5466 4.3744
Ac Cu Cd Er
1 1 1 1
direct
0.5000 0.5000 0.5000
0.2500 0.2500 0.2500
0.7500 0.7500 0.7500
0.0000 0.0000 0.0000
```

Calculated values
- M_tot (μB per cell) = 0.0
- E (eV/atom) = -3.560



[6]
A plane-wave DFT calculation with PBE-GGA was carried out for a geometry-optimized VCuRh2 structure.

The structure in POSCAR format:
```
VCuRh2
1.0
0.0000 2.9928 2.9928
2.9928 0.0000 2.9928
2.9928 2.9928 0.0000
Cu V Rh
1 1 2
direct
0.5000 0.5000 0.5000
0.0000 0.0000 0.0000
0.7500 0.7500 0.7500
0.2500 0.2500 0.2500
```

Calculated values
- M_tot (μB per cell) = 0.0
- E (eV/atom) = -7.255



[7]
A plane-wave DFT calculation with PBE-GGA was carried out for a geometry-optimized CeHg2F8 structure.

The structure in POSCAR format:
```
CeHg2F8
1.0
4.4435 0.0001 0.0000
-0.0007 6.2853 -3.6283
0.0005 -0.0022 7.2571
F Hg Ce
8 2 1
direct
0.7743 0.3333 0.6667
0.7469 0.8510 0.1478
0.7469 0.2968 0.1490
0.2257 0.6667 0.3332
0.2531 0.7032 0.8510
0.2531 0.1478 0.2968
0.2531 0.1490 0.8522
0.7469 0.8522 0.7032
0.7224 0.6667 0.3333
0.2776 0.3333 0.6667
0.0000 0.0000 0.0000
```

Calculated values
- M_tot (μB per cell) = 0.0
- ΔE_f (raw) (eV per formula unit) = -26.34



[8]
A plane-wave DFT calculation with PBE-GGA was carried out for a geometry-optimized Sr2MgZn structure.

The structure in POSCAR format:
```
Sr2MgZn
1.0
3.9505 0.0000 0.0000
0.0000 3.9920 -0.0015
0.0000 3.9735 8.3636
Mg Sr Zn
1 2 1
direct
0.5000 0.7500 0.7500
0.0000 0.5214 0.4784
0.0000 0.9786 0.0216
0.5000 0.2500 0.2500
```

Calculated values
- M_tot (μB per cell) = 0.0
- E (eV/atom) = -1.677



[9]
A plane-wave DFT calculation with PBE-GGA was carried out for a geometry-optimized Sr2MoRu structure.

The structure in POSCAR format:
```
Sr2MoRu
1.0
-7.6075 -8.4838 -1.1152
7.7245 -7.4509 3.9885
-0.6925 -7.5802 3.6144
Mo Sr Ru
2 4 2
direct
0.2500 0.7500 0.5000
0.5000 0.5000 0.0000
0.3750 0.2032 0.7500
0.7968 0.1250 0.2500
0.8750 0.0468 0.7500
0.9532 0.6250 0.2500
0.7500 0.2500 0.5000
0.0000 0.0000 0.0000
```

Calculated values
- M_tot (μB per cell) = 4.9
- E (eV/atom) = -5.020



[10]
A plane-wave DFT calculation with PBE-GGA was carried out for a geometry-optimized MnZn2Ni2 structure.

The structure in POSCAR format:
```
MnZn2Ni2
1.0
3.4127 0.0000 1.4960
1.6222 3.9933 0.9401
0.0256 -0.0329 4.5822
Zn Ni Mn
2 2 1
direct
0.1997 0.2115 0.3892
0.8003 0.7885 0.6108
0.4032 0.3930 0.8007
0.5968 0.6070 0.1993
0.0000 0.0000 0.0000
```

Calculated values
- M_tot (μB per cell) = 3.9
- E (eV/atom) = -4.795



[11]
A plane-wave DFT calculation with PBE-GGA was carried out for a geometry-optimized Ca2CuNiH structure.

The structure in POSCAR format:
```
Ca2CuNiH
1.0
-2.0402 -0.0053 -4.4554
0.2381 -4.8935 -0.1032
-3.2451 -0.1892 1.4862
Ca H Cu Ni
2 1 1 1
direct
0.5000 0.0000 0.0000
0.0000 0.5000 0.0000
0.0000 0.0000 0.0000
0.0000 0.0000 0.5000
0.5000 0.5000 0.5000
```

Calculated values
- M_tot (μB per cell) = 0.0
- E (eV/atom) = -3.552



[12]
A plane-wave DFT calculation with PBE-GGA was carried out for a geometry-optimized CoMo4Se structure.

The structure in POSCAR format:
```
CoMo4Se
1.0
-0.9683 -3.4042 3.8400
1.1087 1.2579 4.9457
-3.8648 0.9178 3.3900
Co Mo Se
1 4 1
direct
0.0000 0.0000 0.0000
0.3744 0.3744 0.8769
0.3744 0.3744 0.3744
0.8769 0.3744 0.3744
0.3744 0.8769 0.3744
0.7500 0.7500 0.7500
```

Calculated values
- M_tot (μB per cell) = 1.8
- ΔE_f (raw) (eV per formula unit) = 4.60



[13]
A plane-wave DFT calculation with PBE-GGA was carried out for a geometry-optimized SnPd6Au2 structure.

The structure in POSCAR format:
```
SnPd6Au2
1.0
4.1911 0.0000 -0.3942
0.0000 8.3966 0.0000
0.7863 0.0000 8.3609
Pd Au Sn
12 4 2
direct
0.0000 0.9861 0.8333
0.0000 0.0139 0.1667
0.5000 0.5139 0.3333
0.0000 0.3333 0.4865
0.5000 0.4861 0.6667
0.5000 0.1499 0.6502
0.5000 0.8501 0.3498
0.0000 0.6499 0.8498
0.0000 0.6667 0.5135
0.5000 0.8333 0.0135
0.0000 0.3501 0.1502
0.5000 0.1667 0.9865
0.5000 0.1858 0.3146
0.0000 0.6858 0.1854
0.0000 0.3142 0.8146
0.5000 0.8142 0.6854
0.0000 0.0000 0.5000
0.5000 0.5000 0.0000
```

Calculated values
- M_tot (μB per cell) = 0.0
- E (eV/atom) = -4.870



[14]
A plane-wave DFT calculation with PBE-GGA was carried out for a geometry-optimized Sc3AgN structure.

The structure in POSCAR format:
```
Sc3AgN
1.0
6.1970 0.0000 0.0011
0.0001 4.5481 0.0002
-0.0004 -4.5483 6.1963
Sc N Ag
6 2 2
direct
0.8308 0.8693 0.6909
0.3308 0.7904 0.6120
0.1203 0.5798 0.9014
0.6203 0.0798 0.4014
0.4098 0.2903 0.1120
0.9098 0.3693 0.1909
0.1203 0.0798 0.9014
0.6203 0.5799 0.4015
0.6203 0.5799 0.9015
0.1203 0.0799 0.4015
```

Calculated values
- M_tot (μB per cell) = 0.0
- ΔE_f (raw) (eV per formula unit) = -4.50



[15]
A plane-wave DFT calculation with PBE-GGA was carried out for a geometry-optimized Ac2Sm2Hg3 structure.

The structure in POSCAR format:
```
Ac2Sm2Hg3
1.0
-1.3177 2.6819 -4.7051
5.0047 -2.4084 0.5337
-3.9628 -8.3509 -0.2787
Hg Sm Ac
3 2 2
direct
0.5123 0.7554 0.2633
0.0000 0.0000 0.0000
0.4877 0.2446 0.7367
0.2575 0.1282 0.3823
0.7425 0.8718 0.6177
0.7676 0.3835 0.1487
0.2324 0.6165 0.8513
```

Calculated values
- M_tot (μB per cell) = 0.7
- E (eV/atom) = -2.952



[16]
A plane-wave DFT calculation with PBE-GGA was carried out for a geometry-optimized Tl3PI structure.

The structure in POSCAR format:
```
Tl3PI
1.0
-0.0789 2.8316 4.9628
-5.4078 1.5655 -0.9792
-1.8448 -4.7101 2.6580
Tl I P
3 1 1
direct
0.5000 0.0000 0.0000
0.0000 0.0000 0.5000
0.0000 0.5000 0.0000
0.5000 0.5000 0.5000
0.0000 0.0000 0.0000
```

Calculated values
- M_tot (μB per cell) = 0.0
- ΔE_f (raw) (eV per formula unit) = 0.16



[17]
A plane-wave DFT calculation with PBE-GGA was carried out for a geometry-optimized CePaNi2As2 structure.

The structure in POSCAR format:
```
CePaNi2As2
1.0
-2.8522 -2.8237 -0.3581
1.9359 1.3346 -3.2723
5.5646 -5.7412 0.9504
Pa Ni Ce As
1 2 1 2
direct
0.0000 0.0000 0.5000
0.6667 0.3333 0.2914
0.3333 0.6667 0.7086
0.0000 0.0000 0.0000
0.3333 0.6667 0.2415
0.6667 0.3333 0.7585
```

Calculated values
- M_tot (μB per cell) = 0.7
- E (eV/atom) = -7.007



[18]
A plane-wave DFT calculation with PBE-GGA was carried out for a geometry-optimized Rb2PrTmTe4 structure.

The structure in POSCAR format:
```
Rb2PrTmTe4
1.0
4.5813 0.0000 0.0000
0.0000 7.9427 0.1394
0.0000 -2.7915 8.5174
Rb Te Pr Tm
2 4 1 1
direct
0.5000 0.0000 0.5000
0.0000 0.5000 0.5000
0.0000 0.2545 0.7961
0.0000 0.7455 0.2039
0.5000 0.2223 0.1988
0.5000 0.7777 0.8012
0.5000 0.5000 0.0000
0.0000 0.0000 0.0000
```

Calculated values
- M_tot (μB per cell) = 0.0
- ΔE_f (raw) (eV per formula unit) = -11.03



[19]
A plane-wave DFT calculation with PBE-GGA was carried out for a geometry-optimized CaZn2Te structure.

The structure in POSCAR format:
```
CaZn2Te
1.0
6.8792 -0.1295 -0.0797
5.5603 4.0525 -0.0797
5.5603 1.7535 3.6544
Zn Te Ca
2 1 1
direct
0.0078 0.0078 0.0078
0.4922 0.4922 0.4922
0.7500 0.7500 0.7500
0.2500 0.2500 0.2500
```

Calculated values
- M_tot (μB per cell) = 0.0
- ΔE_f (raw) (eV per formula unit) = -1.02



[20]
A plane-wave DFT calculation with PBE-GGA was carried out for a geometry-optimized CsNbHg structure.

The structure in POSCAR format:
```
CsNbHg
1.0
-5.1149 5.6841 3.8488
-0.3852 -2.8595 3.7111
7.9866 4.3540 4.1837
Nb Cs Hg
4 4 4
direct
0.0317 0.2500 0.4552
0.9683 0.7500 0.5448
0.5317 0.2500 0.0448
0.4683 0.7500 0.9552
0.9463 0.7500 0.1356
0.0537 0.2500 0.8644
0.4463 0.7500 0.3644
0.5537 0.2500 0.6356
0.2456 0.2500 0.1973
0.7456 0.2500 0.3027
0.7544 0.7500 0.8027
0.2544 0.7500 0.6973
```

Calculated values
- M_tot (μB per cell) = 0.0
- E (eV/atom) = -3.053